# YTlCl3, relaxed, DFT GGA-PBE
data_YTlCl3
_cell_length_a 5.595
_cell_length_b 5.595
_cell_length_c 5.595
_cell_angle_alpha 90.00
_cell_angle_beta 90.00
_cell_angle_gamma 90.00
_space_group_name_H-M_alt 'P m -3 m'
_space_group_IT_number 221
_space_group_name_Hall '-P 4 2 3'
loop_
_atom_site_label
_atom_site_type_symbol
_atom_site_fract_x
_atom_site_fract_y
_atom_site_fract_z
_atom_site_occupancy
Y1 Y 0.000 0.000 0.000 1
Tl1 Tl 0.500 0.500 0.500 1
Cl1 Cl 0.000 0.500 0.500 1
# Energy relative to the elements, uncorrected: -212 kJ/mol of formula units

---

# HoAlGa6, relaxed, DFT GGA-PBE
data_HoAlGa6
_cell_length_a 4.203
_cell_length_b 4.203
_cell_length_c 8.466
_cell_angle_alpha 90.00
_cell_angle_beta 90.00
_cell_angle_gamma 90.00
_space_group_name_H-M_alt 'P 4/m m m'
_space_group_IT_number 123
_space_group_name_Hall '-P 4 2'
loop_
_atom_site_label
_atom_site_type_symbol
_atom_site_fract_x
_atom_site_fract_y
_atom_site_fract_z
_atom_site_occupancy
Ho1 Ho 0.000 0.000 0.000 1
Al1 Al 0.000 0.000 0.500 1
Ga1 Ga 0.000 0.500 0.265 1
Ga2 Ga 0.500 0.500 0.000 1
Ga3 Ga 0.500 0.500 0.500 1
# Energy above the most stable polymorph in this dataset: 0.000 kcal/mol of atoms
# Energy relative to the elements: -212 meV per atom

---

# LiNdSmPt, relaxed, DFT GGA-PBE
data_LiNdSmPt
_cell_length_a 7.243
_cell_length_b 7.243
_cell_length_c 7.243
_cell_angle_alpha 90.00
_cell_angle_beta 90.00
_cell_angle_gamma 90.00
_space_group_name_H-M_alt 'F -4 3 m'
_space_group_IT_number 216
_space_group_name_Hall 'F -4 2 3'
loop_
_atom_site_label
_atom_site_type_symbol
_atom_site_fract_x
_atom_site_fract_y
_atom_site_fract_z
_atom_site_occupancy
Li1 Li 0.000 0.000 0.000 1
Nd1 Nd 0.250 0.250 0.750 1
Sm1 Sm 0.250 0.250 0.250 1
Pt1 Pt 0.000 0.000 0.500 1
# Energy relative to the elements: -545 meV per atom

---

no.,total moment (Bohr magnetons per cell),theoretical density (Mg/m³),Fermi-level density of states (states/eV per cell)
1,1.31,3.789,8.444
2,0.00,6.775,1.777
3,0.00,8.683,14.830